Compound: K2ZnTeS4
Source: Alexandria
Functional: PBE
Structure: optimized geometry

Results
Formation energy from raw total energies (eV/atom): -0.541
E_tot (eV per atom): -3.4312

a = 6.214 Å, b = 7.668 Å, c = 11.785 Å
α = 83.87°, β = 74.71°, γ = 66.10°
Fractional positions:
K: 0.183 0.000 0.633
K: 0.817 0.000 0.367
K: 0.567 0.500 0.867
K: 0.933 0.500 0.133
Zn: 0.250 0.500 0.500
Zn: 0.500 0.000 0.000
Te: 0.750 0.500 0.500
Te: 0.000 0.000 0.000
S: 0.314 0.795 0.113
S: 0.222 0.205 0.887
S: 0.891 0.795 0.887
S: 0.573 0.205 0.113
S: 0.436 0.705 0.387
S: 0.528 0.295 0.613
S: 0.859 0.705 0.613
S: 0.177 0.295 0.387